# TmThMgHg, optimized geometry, DFT GGA-PBE
data_TmThMgHg
_chemical_formula_sum 'Tm4 Th4 Mg4 Hg4'
_symmetry_space_group_name_H-M 'F -4 3 m'
_symmetry_Int_Tables_number 216
_symmetry_space_group_name_Hall 'F -4 2 3'
_cell_length_a 7.556
_cell_length_b 7.556
_cell_length_c 7.556
_cell_angle_alpha 90.00
_cell_angle_beta 90.00
_cell_angle_gamma 90.00
loop_
_atom_site_label
_atom_site_fract_x
_atom_site_fract_y
_atom_site_fract_z
_atom_site_occupancy
Tm1 0.000 0.000 0.000 1
Th1 0.000 0.000 0.500 1
Mg1 0.250 0.250 0.750 1
Hg1 0.250 0.250 0.250 1
# E   -3.5622 eV/atom
# Magnetization   0.00 Bohr magnetons per cell